Entry 1:
Computed, not measured: crystalline Nb2VSe4 at its relaxed geometry at the PBE level of DFT.

Summary:
Crystal system: monoclinic

Cell: 7.1077 7.1077 6.3854 Å, 65.28 65.28 28.55°
Site moments in Bohr magnetons follow the coordinates.
Atoms (fractional coordinates):
Nb 0.2569 0.2569 0.6782  -0.01
V 0.0000 0.0000 0.0000  1.96
Se 0.0996 0.0996 0.5581  -0.02
Se 0.3642 0.3642 0.9744  -0.03
Nb 0.7431 0.7431 0.3218  -0.01
Se 0.6358 0.6358 0.0256  -0.03
Se 0.9004 0.9004 0.4419  -0.02

***

Entry 2:
Computed, not measured: crystalline NbVSe2 at its relaxed geometry at the PBE level of DFT.

Summary:
Crystal system: tetragonal

Cell: 5.8391 5.8391 7.0552 Å, 65.56 65.56 90.00°
Site moments in Bohr magnetons follow the coordinates.
Atoms (fractional coordinates):
V 0.5000 0.5000 0.0000  2.29
Se 0.3750 0.3878 0.7500  -0.05
Se 0.8750 0.8622 0.7500  -0.05
Nb 0.0000 0.0000 0.0000  1.46
V 0.2500 0.7500 0.5000  2.29
Se 0.1378 0.6250 0.2500  -0.05
Nb 0.7500 0.2500 0.5000  1.46
Se 0.6122 0.1250 0.2500  -0.05

***

Entry 3:
Computed, not measured: crystalline NbV2Se3 at its relaxed geometry at the PBE level of DFT.

Summary:
Crystal system: monoclinic

Cell: 3.3989 7.9587 10.3857 Å, 104.69 90.00 90.00°
Atoms (fractional coordinates):
Se 0.2500 0.2648 0.0149
V 0.7500 0.0315 0.9230
Se 0.7500 0.5874 0.3390
Nb 0.7500 0.2508 0.2172
V 0.7500 0.5931 0.5816
V 0.2500 0.4069 0.4184
V 0.2500 0.9685 0.0770
Se 0.2500 0.0800 0.3271
Nb 0.2500 0.7492 0.7828
Se 0.7500 0.9200 0.6729
Se 0.7500 0.7352 0.9851
Se 0.2500 0.4126 0.6610

***

For each record above, in turn, the calculated density of states at the Fermi level values are 3.077 2.657 3.966 states/eV/f.u..
For each record above, in turn, the calculated VASP energy values are -48.98 -53.20 -85.28 eV per cell.
For each record above, in turn, the calculated calculated volume values are 19.866 24.382 22.646 A^3/atom.